# LiSiNi2 PBE relaxed
data_LiSiNi2
_chemical_formula_sum 'Li2 Si2 Ni4'
_symmetry_space_group_name_H-M 'P 1'
_symmetry_Int_Tables_number 1
_cell_length_a 3.882
_cell_length_b 3.882
_cell_length_c 7.435
_cell_angle_alpha 90.00
_cell_angle_beta 90.00
_cell_angle_gamma 120.00
loop_
_symmetry_equiv_pos_as_xyz
'x,y,z'
loop_
_atom_site_label
_atom_site_fract_x
_atom_site_fract_y
_atom_site_fract_z
Li1 0.667 0.333 0.750
Ni1 0.333 0.667 0.577
Si1 0.000 0.000 0.500
Li2 0.333 0.667 0.250
Ni2 0.667 0.333 0.423
Ni3 0.667 0.333 0.077
Si2 0.000 0.000 0.000
Ni4 0.333 0.667 0.923
# Space-group type   P6_3/mmc
# Electronic total energy   -39.64 eV/cell
# Magnetization   0.0 μB per formula unit